Crystalline Na10B13C7 at its relaxed geometry. Source: Alexandria via LeMat-Bulk, functional PBE.

Cell and atoms, written as extended XYZ:
```
30
Lattice="-5.931 9.793 0.850 -7.003 8.947 -1.644 -5.197 -7.037 4.622" Properties=species:S:1:pos:R:3 pbc="T T T"
C -7.849 -0.457 3.531
C -12.096 8.467 2.330
C -6.659 -4.723 4.466
C -10.856 4.189 3.248
C -7.361 7.548 0.605
C -10.198 12.142 0.267
C -6.002 3.209 1.493
B -5.889 7.245 0.076
B -10.637 8.178 1.800
B -15.022 9.065 3.385
B -2.988 2.619 0.397
B -11.715 12.437 0.819
B -12.388 4.497 3.802
B -7.498 3.517 2.032
B -3.228 -1.380 1.856
B -16.587 13.415 2.583
B -11.445 16.432 -0.652
B -6.357 -0.757 2.990
B -14.909 13.079 1.975
B -1.624 -1.690 1.272
Na -9.071 5.838 1.921
Na -4.946 -3.061 3.165
Na -4.658 0.934 1.686
Na -13.188 14.753 0.668
Na -9.330 1.885 3.373
Na -4.384 4.935 0.211
Na -13.454 10.781 2.129
Na -0.008 0.005 0.002
Na -13.739 6.774 3.611
Na -8.802 9.822 0.454
```

Results
space-group type: Cm, No. 8
relative energy among the computed polymorphs: 0.004 eV per atom
crystal system: monoclinic
E_form: 90 meV per atom

Crystalline Tl3Bi2Pb5 at its relaxed geometry. Source: Alexandria via LeMat-Bulk, functional PBE.

Cell and atoms, written as extended XYZ:
```
20
Lattice="7.003 0.000 0.000 3.501 10.081 -1.510 3.501 1.219 10.120" Properties=species:S:1:pos:R:3 pbc="T T T"
Pb 7.003 8.316 3.675
Pb 7.003 2.984 4.935
Pb 8.754 8.434 6.426
Pb 5.252 8.434 6.426
Pb 3.501 5.550 1.567
Pb 10.504 5.750 7.042
Pb 8.754 5.650 4.305
Pb 8.754 2.865 2.183
Pb 5.252 2.865 2.183
Pb 5.252 5.650 4.305
Tl 7.003 4.907 8.432
Tl 1.751 0.000 0.000
Tl 10.504 9.432 2.493
Tl 3.501 1.868 6.117
Tl 5.252 0.000 0.000
Tl 7.003 6.393 0.178
Bi 7.003 10.272 1.254
Bi 10.504 3.935 9.571
Bi 3.501 7.364 -0.961
Bi 7.003 1.028 7.355
```

Results
space-group type: Ibam, No. 72
crystal system: orthorhombic
E_form: 73 meV per atom

Crystalline Ti2V3Ga2 at its relaxed geometry. Source: Alexandria via LeMat-Bulk, functional PBE.

Cell and atoms, written as extended XYZ:
```
7
Lattice="4.356 0.000 0.000 -2.178 4.318 0.950 0.000 -1.129 5.319" Properties=species:S:1:pos:R:3 pbc="T T T"
V 2.178 0.000 0.000
V 2.178 0.511 2.548
V 0.000 2.678 3.721
Ga 0.000 1.526 1.381
Ga 2.178 1.663 4.888
Ti 0.000 -0.001 4.025
Ti 2.178 3.190 2.244
```

Results
space-group type: C2/m, No. 12
crystal system: monoclinic
E_form: -142 meV per atom